# BaNb2HgO7 | Alexandria | PBE-GGA | relaxed
# density	6.233	Mg/m³
# E	-7.43	eV per atom
# formation energy (no corrections)	-2.238	eV/atom
data_BaNb2HgO7
_cell_length_a 4.0288
_cell_length_b 4.0288
_cell_length_c 20.8686
_cell_angle_alpha 90.00
_cell_angle_beta 90.00
_cell_angle_gamma 90.00
_symmetry_space_group_name_H-M 'I -4 m 2'
_symmetry_Int_Tables_number 119
_symmetry_space_group_name_Hall 'I -4 -2'
loop_
_atom_site_label
_atom_site_fract_x
_atom_site_fract_y
_atom_site_fract_z
Ba1 0.0000 0.0000 0.0000
Nb1 0.0000 0.0000 0.3952
Hg1 0.0000 0.5000 0.2500
O1 0.0000 0.0000 0.3029
O2 0.0000 0.0000 0.5000
O3 0.0000 0.5000 0.0984
O4 0.0000 0.5000 0.5944


# BaNbHg2O | Alexandria | PBE-GGA | relaxed
# density	7.696	Mg/m³
# E	-3.88	eV per atom
# formation energy (no corrections)	-0.367	eV/atom
data_BaNbHg2O
_cell_length_a 5.9645
_cell_length_b 5.9645
_cell_length_c 3.9265
_cell_angle_alpha 90.00
_cell_angle_beta 90.00
_cell_angle_gamma 90.00
_symmetry_space_group_name_H-M 'P 4/m m m'
_symmetry_Int_Tables_number 123
_symmetry_space_group_name_Hall '-P 4 2'
loop_
_atom_site_label
_atom_site_fract_x
_atom_site_fract_y
_atom_site_fract_z
Ba1 0.0000 0.0000 0.0000
Nb1 0.5000 0.5000 0.0000
Hg1 0.0000 0.5000 0.5000
O1 0.5000 0.5000 0.5000


# Ba3Nb2HgO9 | Alexandria | PBE-GGA | relaxed
# density	6.709	Mg/m³
# E	-7.18	eV per atom
# formation energy (no corrections)	-2.460	eV/atom
data_Ba3Nb2HgO9
_cell_length_a 5.9978
_cell_length_b 5.9978
_cell_length_c 7.4870
_cell_angle_alpha 90.00
_cell_angle_beta 90.00
_cell_angle_gamma 120.00
_symmetry_space_group_name_H-M 'P -3 m 1'
_symmetry_Int_Tables_number 164
_symmetry_space_group_name_Hall '-P 3 2"'
loop_
_atom_site_label
_atom_site_fract_x
_atom_site_fract_y
_atom_site_fract_z
Ba1 0.0000 0.0000 0.0000
Ba2 0.3333 0.6667 0.6731
Nb1 0.3333 0.6667 0.1667
Hg1 0.0000 0.0000 0.5000
O1 0.0000 0.5000 0.0000
O2 0.1771 0.3542 0.3080


# BaNbHgPd2 | Alexandria | PBE-GGA | relaxed
# density	7.130	Mg/m³
# E	-3.90	eV per atom
# energy relative to the elements	632	meV/atom
data_BaNbHgPd2
_cell_length_a 4.9418
_cell_length_b 4.9418
_cell_length_c 6.1384
_cell_angle_alpha 90.00
_cell_angle_beta 90.00
_cell_angle_gamma 90.00
_symmetry_space_group_name_H-M 'P 4/m m m'
_symmetry_Int_Tables_number 123
_symmetry_space_group_name_Hall '-P 4 2'
loop_
_atom_site_label
_atom_site_fract_x
_atom_site_fract_y
_atom_site_fract_z
Ba1 0.0000 0.0000 0.0000
Nb1 0.0000 0.0000 0.5000
Hg1 0.5000 0.5000 0.0000
Pd1 0.0000 0.5000 0.5000


# BaNbRe2Hg | Alexandria | PBE-GGA | relaxed
# density	9.932	Mg/m³
# E	-6.20	eV per atom
# energy relative to the elements	1240	meV/atom
data_BaNbRe2Hg
_cell_length_a 4.8954
_cell_length_b 4.8954
_cell_length_c 5.6037
_cell_angle_alpha 90.00
_cell_angle_beta 90.00
_cell_angle_gamma 90.00
_symmetry_space_group_name_H-M 'P 4/m m m'
_symmetry_Int_Tables_number 123
_symmetry_space_group_name_Hall '-P 4 2'
loop_
_atom_site_label
_atom_site_fract_x
_atom_site_fract_y
_atom_site_fract_z
Ba1 0.0000 0.0000 0.0000
Nb1 0.5000 0.5000 0.5000
Re1 0.0000 0.5000 0.5000
Hg1 0.5000 0.5000 0.0000


# BaNb2ZnHg | Alexandria | PBE-GGA | relaxed
# density	5.613	Mg/m³
# E	-3.24	eV per atom
# energy relative to the elements	1486	meV/atom
data_BaNb2ZnHg
_cell_length_a 5.2607
_cell_length_b 5.2607
_cell_length_c 6.2971
_cell_angle_alpha 90.00
_cell_angle_beta 90.00
_cell_angle_gamma 90.00
_symmetry_space_group_name_H-M 'P 4/m m m'
_symmetry_Int_Tables_number 123
_symmetry_space_group_name_Hall '-P 4 2'
loop_
_atom_site_label
_atom_site_fract_x
_atom_site_fract_y
_atom_site_fract_z
Ba1 0.0000 0.0000 0.0000
Nb1 0.0000 0.5000 0.5000
Zn1 0.5000 0.5000 0.0000
Hg1 0.0000 0.0000 0.5000


# BaZr2NbHg | Alexandria | PBE-GGA | relaxed
# density	6.174	Mg/m³
# E	-5.04	eV per atom
# energy relative to the elements	839	meV/atom
data_BaZr2NbHg
_cell_length_a 5.1572
_cell_length_b 5.1572
_cell_length_c 6.2016
_cell_angle_alpha 90.00
_cell_angle_beta 90.00
_cell_angle_gamma 90.00
_symmetry_space_group_name_H-M 'P 4/m m m'
_symmetry_Int_Tables_number 123
_symmetry_space_group_name_Hall '-P 4 2'
loop_
_atom_site_label
_atom_site_fract_x
_atom_site_fract_y
_atom_site_fract_z
Ba1 0.0000 0.0000 0.0000
Zr1 0.0000 0.5000 0.5000
Nb1 0.0000 0.0000 0.5000
Hg1 0.5000 0.5000 0.0000


# Ba2NdHg3 | Alexandria | PBE-GGA | relaxed
# density	8.373	Mg/m³
# E	-2.08	eV per atom
# energy relative to the elements	-490	meV/atom
data_Ba2NdHg3
_cell_length_a 4.0429
_cell_length_b 4.0429
_cell_length_c 12.3846
_cell_angle_alpha 90.00
_cell_angle_beta 90.00
_cell_angle_gamma 90.00
_symmetry_space_group_name_H-M 'P 4/m m m'
_symmetry_Int_Tables_number 123
_symmetry_space_group_name_Hall '-P 4 2'
loop_
_atom_site_label
_atom_site_fract_x
_atom_site_fract_y
_atom_site_fract_z
Ba1 0.0000 0.0000 0.1777
Nd1 0.0000 0.0000 0.5000
Hg1 0.5000 0.5000 0.0000
Hg2 0.5000 0.5000 0.3610


# BaNd2Hg | Alexandria | PBE-GGA | relaxed
# density	6.840	Mg/m³
# E	-2.99	eV per atom
# energy relative to the elements	-47	meV/atom
data_BaNd2Hg
_cell_length_a 3.9199
_cell_length_b 3.9199
_cell_length_c 34.2826
_cell_angle_alpha 90.00
_cell_angle_beta 90.00
_cell_angle_gamma 120.00
_symmetry_space_group_name_H-M 'R 3 m'
_symmetry_Int_Tables_number 160
_symmetry_space_group_name_Hall 'R 3 -2"'
loop_
_atom_site_label
_atom_site_fract_x
_atom_site_fract_y
_atom_site_fract_z
Ba1 0.0000 0.0000 0.0000
Nd1 0.0000 0.0000 0.5674
Nd2 0.0000 0.0000 0.7660
Hg1 0.0000 0.0000 0.1665


# BaNdHg2 | Alexandria | PBE-GGA | relaxed
# density	7.863	Mg/m³
# E	-2.13	eV per atom
# energy relative to the elements	-311	meV/atom
data_BaNdHg2
_cell_length_a 4.2338
_cell_length_b 4.2338
_cell_length_c 27.8662
_cell_angle_alpha 90.00
_cell_angle_beta 90.00
_cell_angle_gamma 120.00
_symmetry_space_group_name_H-M 'R -3 m'
_symmetry_Int_Tables_number 166
_symmetry_space_group_name_Hall '-R 3 2"'
loop_
_atom_site_label
_atom_site_fract_x
_atom_site_fract_y
_atom_site_fract_z
Ba1 0.0000 0.0000 0.0000
Nd1 0.0000 0.0000 0.5000
Hg1 0.0000 0.0000 0.2406


# BaNd3Hg4 | Alexandria | PBE-GGA | relaxed
# density	9.436	Mg/m³
# E	-2.61	eV per atom
# energy relative to the elements	-433	meV/atom
data_BaNd3Hg4
_cell_length_a 5.5280
_cell_length_b 5.5280
_cell_length_c 7.9033
_cell_angle_alpha 90.00
_cell_angle_beta 90.00
_cell_angle_gamma 90.00
_symmetry_space_group_name_H-M 'P 4/m m m'
_symmetry_Int_Tables_number 123
_symmetry_space_group_name_Hall '-P 4 2'
loop_
_atom_site_label
_atom_site_fract_x
_atom_site_fract_y
_atom_site_fract_z
Ba1 0.0000 0.0000 0.0000
Nd1 0.0000 0.0000 0.5000
Nd2 0.5000 0.5000 0.0000
Nd3 0.5000 0.5000 0.5000
Hg1 0.0000 0.5000 0.2675


# Ba2NdHg10 | Alexandria | PBE-GGA | relaxed
# density	8.685	Mg/m³
# E	-1.08	eV per atom
# energy relative to the elements	-189	meV/atom
data_Ba2NdHg10
_cell_length_a 11.3383
_cell_length_b 13.5296
_cell_length_c 6.0446
_cell_angle_alpha 90.00
_cell_angle_beta 90.00
_cell_angle_gamma 90.00
_symmetry_space_group_name_H-M 'P b a m'
_symmetry_Int_Tables_number 55
loop_
_symmetry_equiv_pos_as_xyz
'x,y,z'
'-x,-y,-z'
'-x,-y,z'
'x,y,-z'
'x+1/2,-y+1/2,-z'
'-x+1/2,y+1/2,z'
'-x+1/2,y+1/2,-z'
'x+1/2,-y+1/2,z'
loop_
_atom_site_label
_atom_site_fract_x
_atom_site_fract_y
_atom_site_fract_z
Ba1 0.1361 0.1647 0.0000
Nd1 0.0000 0.5000 0.5000
Hg1 0.0305 0.8866 0.5000
Hg2 0.0869 0.6914 0.2442
Hg3 0.1958 0.3203 0.5000
Hg4 0.2264 0.0391 0.5000


Which value of E does entry 8 give? -2.08 eV per atom


Number 3 is which compound? Ba3Nb2HgO9


Among the records above, which one has the highest E? Ba2NdHg10


What is the E in the twelfth record? -1.08 eV per atom